First-principles (PBE) data for crystalline In2SiRh at its relaxed geometry, as listed in Alexandria.

The space group is C2/m (No. 12) and the conventional cell measures 9.387, 3.323 and 4.845 Å, with angles of 90.00, 97.90 and 90.00 degrees. Symmetry generates all atoms from In at (0.239, 0.000, 0.241), Si at (0.000, 0.000, 0.500) and Rh at (0.000, 0.500, 0.000).

The raw total energy comes out at -17.668 eV per formula unit. The calculated density is 8.00 g/cm3. As for the total magnetization: 0.000 μB per formula unit.